[1]
## SrLi2TaN (PBE-GGA)

Data for crystalline SrLi2TaN at its relaxed geometry.

- total moment (μB per cell) = 1.48
- uncorrected formation energy (eV per atom) = 0.13
- density of states at the Fermi level (states/eV/f.u.) = 4.66

Unit cell a=4.854 b=4.854 c=4.110 alpha=90.00 beta=90.00 gamma=90.00
Space group P4/mmm (No. 123)
Symmetry-distinct sites (fractional):
Sr: 0.000 0.000 0.000 x1
Li: 0.000 0.500 0.500 x2
Ta: 0.500 0.500 0.000 x1
N: 0.500 0.500 0.500 x1

[2]
## Na2LaErSe4 (PBE-GGA)

Data for crystalline Na2LaErSe4 at its relaxed geometry.

- total moment (μB per cell) = 0.00
- uncorrected formation energy (eV per atom) = -1.72
- density of states at the Fermi level (states/eV/f.u.) = 0.00

Unit cell a=7.364 b=4.248 c=7.408 alpha=90.00 beta=109.34 gamma=90.00
Space group P2/m (No. 10)
Symmetry-distinct sites (fractional):
Na: 0.000 0.000 0.000 x1
Na: 0.500 0.500 0.000 x1
La: 0.000 0.500 0.500 x1
Er: 0.500 0.000 0.500 x1
Se: 0.258 0.000 0.735 x2
Se: 0.268 0.500 0.270 x2

[3]
## LaAl9Co2 (PBE-GGA)

Data for crystalline LaAl9Co2 at its relaxed geometry.

- total moment (μB per cell) = 0.00
- density of states at the Fermi level (states/eV/f.u.) = 6.42
- ΔH_f (0 K) (kcal/mol of atoms) = -9.2

Unit cell a=10.573 b=10.573 c=6.951 alpha=90.00 beta=90.00 gamma=90.00
Space group I4_1/amd (No. 141, origin choice 2)
Symmetry-distinct sites (fractional):
La: 0.000 0.250 0.375 x4
Al: 0.000 0.250 0.875 x4
Al: 0.123 0.051 0.693 x32
Co: 0.000 0.000 0.000 x8

[4]
## RbBe2Ir2 (PBE-GGA)

Data for crystalline RbBe2Ir2 at its relaxed geometry.

- total moment (μB per cell) = 0.00
- density of states at the Fermi level (states/eV/f.u.) = 4.28
- energy above the lowest structure with this stoichiometry (meV/atom) = 0
- ΔH_f (0 K) (kcal/mol of atoms) = 0.7

Unit cell a=4.084 b=4.084 c=12.479 alpha=90.00 beta=90.00 gamma=90.00
Space group I4/mmm (No. 139)
Symmetry-distinct sites (fractional):
Rb: 0.000 0.000 0.000 x2
Be: 0.000 0.000 0.316 x4
Ir: 0.000 0.500 0.250 x4